Record 1
GGA-PBEsol LaGa2Ir2, optimized geometry; space group = I4/mmm (139); total energy = -34.9 eV/f.u.; calculated formation energy = -0.6453 eV per atom
1.0
4.191 0.000 0.000
0.000 4.191 0.000
-2.096 -2.096 5.361
Ir Ga La
2 2 1
Cartesian
0.000 0.000 4.103
2.096 2.096 1.258
0.000 2.096 2.680
2.096 0.000 2.680
0.000 0.000 0.000

***

Record 2
GGA-PBEsol As2OsO, optimized geometry; space group = I-42d (122); total energy = -26.9 eV/f.u.; ΔE_f (raw) = 0.2050 eV per atom
1.0
-2.668 -0.260 -4.550
4.318 -1.830 -2.428
-2.208 -3.652 4.569
As Os O
4 2 2
Cartesian
2.156 -2.619 -2.808
-1.197 -1.820 -3.630
-1.337 -3.049 2.491
-0.739 -3.998 -0.871
1.467 -3.264 -0.674
0.000 0.000 0.000
-2.026 -2.479 -1.735
0.825 -1.045 -3.489

***

Record 3
GGA-PBEsol GePPtCl2, optimized geometry; space group = P4/mmm (123); total energy = -20.4 eV/f.u.; energy above the lowest structure with this stoichiometry = 0 meV per atom; ΔE_f (raw) = 0.2710 eV per atom
1.0
4.565 0.000 0.000
0.000 4.719 0.000
0.000 0.000 4.719
P Ge Pt Cl
1 1 1 2
Cartesian
0.000 0.000 0.000
2.283 2.359 2.359
2.283 0.000 0.000
0.000 0.000 2.359
0.000 2.359 0.000

***

Record 4
GGA-PBEsol Zr3In, optimized geometry; space group = Cmmm (65); total energy = -30.9 eV/f.u.; calculated formation energy = -0.1708 eV per atom
1.0
-0.797 1.577 -2.554
3.312 -3.122 -2.963
-4.937 -2.258 0.147
In Zr
1 3
Cartesian
0.000 0.000 0.000
-2.867 -0.340 -1.203
1.257 -0.772 -2.758
-0.812 -2.690 -1.408

***

Record 5
GGA-PBEsol TaMn3Br, optimized geometry; space group = Pm-3m (221); total energy = -36.1 eV/f.u.; ΔE_f (raw) = 1.5271 eV per atom
1.0
-2.895 -3.650 0.760
2.644 -2.688 -2.838
2.627 -1.315 3.694
Mn Br Ta
3 1 1
Cartesian
1.322 -1.344 -1.419
1.314 -0.657 1.847
-1.447 -1.825 0.380
1.189 -3.826 0.808
0.000 0.000 0.000

***

Record 6
GGA-PBEsol LaMg2, optimized geometry; space group = Fm-3m (225); total energy = -7.2 eV/f.u.; calculated formation energy = 0.5140 eV per atom
1.0
5.251 0.000 0.000
2.626 4.548 0.000
2.626 1.516 4.288
La Mg
1 2
Cartesian
0.000 0.000 0.000
7.877 4.548 3.216
2.626 1.516 1.072

***

Record 7
GGA-PBEsol CoTeCl, optimized geometry; space group = P3m1 (156); total energy = -14.3 eV/f.u.; ΔE_f (raw) = -0.3594 eV per atom
1.0
-0.414 -2.411 -2.500
0.887 -0.974 3.240
-5.815 -0.497 1.443
Te Co Cl
1 1 1
Cartesian
-2.117 -1.673 1.964
-3.893 -2.267 0.385
-5.148 -0.440 1.278

***

Record 8
GGA-PBEsol CuAgPt2, optimized geometry; space group = P2/m (10); total energy = -21.6 eV/f.u.; energy above the lowest structure with this stoichiometry = 81 meV per atom; calculated formation energy = -0.0164 eV per atom
1.0
-2.076 -0.467 -1.669
-2.483 -1.575 3.530
-1.521 4.382 0.886
Pt Ag Cu
2 1 1
Cartesian
-2.717 2.902 -0.616
-0.879 1.014 -0.166
-2.280 -1.021 0.931
-2.002 1.403 2.208

***

The highest total energy belongs to which entry?
LaMg2

***

Which of these has the highest total energy?
LaMg2

***

Which of these has the lowest total energy?
TaMn3Br